No. 1
Entry from the Alexandria database: an optimized crystal structure of TlCr2Te (PBE).

Properties
total energy = -5.659 eV per atom
excess energy over the best structure of this formula in the dataset = 188 meV per atom

Lattice parameters (Å, degrees): 4.068 4.068 10.583 90.00 90.00 90.00
Space group I-4m2 (No. 119)
One atom of each set of equivalent atoms:
Tl1 0.000 0.000 0.000
Cr1 0.000 0.000 0.500
Cr2 0.000 0.500 0.750
Te1 0.000 0.500 0.250

---

No. 2
Entry from the Alexandria database: an optimized crystal structure of CsGaSe3 (PBE).

Properties
total energy = -3.669 eV per atom
excess energy over the best structure of this formula in the dataset = 1 meV per atom

Lattice parameters (Å, degrees): 7.034 7.857 7.862 114.62 102.79 102.97
Space group P1 (No. 1)
One atom of each set of equivalent atoms:
Cs1 0.000 0.000 0.000
Cs2 0.499 0.667 0.332
Ga1 0.101 0.394 0.680
Ga2 0.601 0.347 0.726
Se1 0.068 0.038 0.519
Se2 0.381 0.071 0.747
Se3 0.461 0.615 0.810
Se4 0.570 0.189 0.371
Se5 0.884 0.419 0.406
Se6 0.960 0.476 0.947

---

No. 3
Entry from the Alexandria database: an optimized crystal structure of Li2ZnIn3 (PBE).

Properties
total energy = -2.363 eV per atom
energy of formation = -0.144 eV/atom

Lattice parameters (Å, degrees): 8.091 8.301 7.968 90.00 105.53 90.00
Space group C2/c (No. 15)
One atom of each set of equivalent atoms:
Li1 0.129 0.245 0.128
Zn1 0.000 0.420 0.750
In1 0.000 0.096 0.750
In2 0.225 0.423 0.507

---

No. 4
Entry from the Alexandria database: an optimized crystal structure of MnZnBr2 (PBE).

Properties
total energy = -3.651 eV per atom
excess energy over the best structure of this formula in the dataset = 145 meV per atom

Lattice parameters (Å, degrees): 3.604 6.616 9.352 90.00 90.00 90.00
Space group Cmm2 (No. 35)
One atom of each set of equivalent atoms:
Mn1 0.000 0.000 0.000
Zn1 0.000 0.500 0.786
Br1 0.000 0.000 0.603
Br2 0.000 0.500 0.190

---

No. 5
Entry from the Alexandria database: an optimized crystal structure of Tb6Tm2In (PBE).

Properties
total energy = -4.409 eV per atom
excess energy over the best structure of this formula in the dataset = 0 meV per atom
energy of formation = -0.024 eV/atom

Lattice parameters (Å, degrees): 20.613 9.164 6.041 90.00 107.01 90.00
Space group C2/c (No. 15)
One atom of each set of equivalent atoms:
Tb1 0.079 0.072 0.432
Tb2 0.079 0.426 0.229
Tb3 0.169 0.250 0.919
Tm1 0.250 0.080 0.444
In1 0.000 0.251 0.750

---

No. 6
Entry from the Alexandria database: an optimized crystal structure of Tc2IrRu (PBE).

Properties
total energy = -9.721 eV per atom
excess energy over the best structure of this formula in the dataset = 195 meV per atom
energy of formation = -0.004 eV/atom

Lattice parameters (Å, degrees): 2.7302 2.7302 26.7683 90.00 90.00 120.00
Space group R3m (No. 160, hexagonal axes)
One atom of each set of equivalent atoms:
Tc1 0.0000 0.0000 0.0000
Tc2 0.0000 0.0000 0.2494
Ir1 0.0000 0.0000 0.7497
Ru1 0.0000 0.0000 0.5003

---

No. 7
Entry from the Alexandria database: an optimized crystal structure of Ho2PaNbC4 (PBE).

Properties
total energy = -8.610 eV per atom
energy of formation = -0.408 eV/atom

Lattice parameters (Å, degrees): 6.880 6.992 9.828 90.00 90.00 90.00
Space group Imma (No. 74)
One atom of each set of equivalent atoms:
Ho1 0.000 0.000 0.000
Ho2 0.250 0.250 0.250
Pa1 0.000 0.000 0.500
Nb1 0.250 0.250 0.750
C1 0.000 0.022 0.746
C2 0.238 0.250 0.516

---

No. 8
Entry from the Alexandria database: an optimized crystal structure of SnSeN2 (PBE).

Properties
total energy = -5.446 eV per atom
excess energy over the best structure of this formula in the dataset = 682 meV per atom

Lattice parameters (Å, degrees): 3.2899 3.2899 18.9430 90.00 90.00 120.00
Space group R-3m (No. 166, hexagonal axes)
One atom of each set of equivalent atoms:
Sn1 0.0000 0.0000 0.0000
Se1 0.0000 0.0000 0.5000
N1 0.0000 0.0000 0.3938

---

No. 9
Entry from the Alexandria database: an optimized crystal structure of CaAg2Cl (PBE).

Properties
total energy = -3.079 eV per atom
excess energy over the best structure of this formula in the dataset = 4 meV per atom

Lattice parameters (Å, degrees): 3.733 3.733 7.328 90.00 90.00 90.00
Space group P4mm (No. 99)
One atom of each set of equivalent atoms:
Ca1 0.000 0.000 0.000
Ag1 0.000 0.000 0.601
Ag2 0.500 0.500 0.707
Cl1 0.500 0.500 0.161

---

No. 10
Entry from the Alexandria database: an optimized crystal structure of LiTe2Br (PBE).

Properties
total energy = -3.082 eV per atom
excess energy over the best structure of this formula in the dataset = 4 meV per atom

Lattice parameters (Å, degrees): 4.009 4.009 9.046 90.00 90.00 90.00
Space group P4mm (No. 99)
One atom of each set of equivalent atoms:
Li1 0.000 0.000 0.000
Te1 0.000 0.000 0.636
Te2 0.500 0.500 0.534
Br1 0.500 0.500 0.016

---

No. 11
Entry from the Alexandria database: an optimized crystal structure of BaReF3 (PBE).

Properties
total energy = -5.315 eV per atom
excess energy over the best structure of this formula in the dataset = 0 meV per atom

Lattice parameters (Å, degrees): 4.401 4.401 4.401 90.00 90.00 90.00
Space group Pm-3m (No. 221)
One atom of each set of equivalent atoms:
Ba1 0.000 0.000 0.000
Re1 0.500 0.500 0.500
F1 0.000 0.500 0.500

---

No. 12
Entry from the Alexandria database: an optimized crystal structure of Zr2TaIr (PBE).

Properties
total energy = -9.738 eV per atom
excess energy over the best structure of this formula in the dataset = 101 meV per atom
energy of formation = -0.285 eV/atom

Lattice parameters (Å, degrees): 3.307 4.758 9.579 90.00 90.00 90.00
Space group Immm (No. 71)
One atom of each set of equivalent atoms:
Zr1 0.000 0.000 0.240
Ta1 0.000 0.500 0.000
Ir1 0.000 0.500 0.500

---

No. 13
Entry from the Alexandria database: an optimized crystal structure of Sm2NiGe (PBE).

Properties
total energy = -5.407 eV per atom
energy of formation = -0.448 eV/atom

Lattice parameters (Å, degrees): 4.944 4.944 3.694 90.00 90.00 90.00
Space group P4/mmm (No. 123)
One atom of each set of equivalent atoms:
Sm1 0.000 0.500 0.000
Ni1 0.000 0.000 0.500
Ge1 0.500 0.500 0.500